Entry from the Alexandria database: a relaxed structure of Tl4SeI2 (GGA-PBE).

## Properties
polymorph energy (0 for the lowest one) = 0.00 eV per formula unit
mass density = 6.56 g cm⁻³
formation energy (no corrections) = -0.52 eV per atom
SG = Pbam (55)

abc: 9.3606 12.9742 4.7916
angles: 90.00 90.00 90.00
Fractional coordinates of all 14 atoms:
Tl  0.1300  0.2164  0.0000
Tl  0.2050  0.9385  0.5000
Tl  0.2950  0.4385  0.5000
Tl  0.3700  0.7164  0.0000
Tl  0.6300  0.2836  0.0000
Tl  0.7050  0.5615  0.5000
Tl  0.7950  0.0615  0.5000
Tl  0.8700  0.7836  0.0000
Se  0.0000  0.0000  0.0000
Se  0.5000  0.5000  0.0000
I  0.0993  0.6702  0.5000
I  0.4007  0.1702  0.5000
I  0.5993  0.8298  0.5000
I  0.9007  0.3298  0.5000

Entry from the Alexandria database: a relaxed structure of YCrAg2 (GGA-PBE).

## Properties
polymorph energy (0 for the lowest one) = 1.31 eV per formula unit
ΔE_f = 0.41 eV per atom
mass density = 7.08 g cm⁻³
SG = R3m (160)

abc: 3.2032 3.2032 28.2511
angles: 90.00 90.00 120.00
Fractional coordinates of all 12 atoms:
Y  0.0000  0.0000  0.0000
Y  0.3333  0.6667  0.6667
Y  0.6667  0.3333  0.3333
Cr  0.0000  0.0000  0.7529
Cr  0.3333  0.6667  0.4196
Cr  0.6667  0.3333  0.0863
Ag  0.0000  0.0000  0.2434
Ag  0.0000  0.0000  0.4967
Ag  0.3333  0.6667  0.1634
Ag  0.3333  0.6667  0.9100
Ag  0.6667  0.3333  0.5767
Ag  0.6667  0.3333  0.8300

Entry from the Alexandria database: a relaxed structure of BeAl2SiF (GGA-PBE).

## Properties
mass density = 1.83 g cm⁻³
formation energy (no corrections) = 0.24 eV per atom
SG = P4/mmm (123)

abc: 4.9825 4.9825 4.0257
angles: 90.00 90.00 90.00
Fractional coordinates of all 5 atoms:
Be  0.0000  0.0000  0.0000
Al  0.0000  0.5000  0.5000
Al  0.5000  0.0000  0.5000
Si  0.0000  0.0000  0.5000
F  0.5000  0.5000  0.0000

Entry from the Alexandria database: a relaxed structure of AlIn2Os (GGA-PBE).

## Properties
ΔE_f = 0.31 eV per atom
mass density = 10.32 g cm⁻³
SG = Fmmm (69)

abc: 5.8141 5.9374 8.3348
angles: 90.00 90.00 90.00
Fractional coordinates of all 16 atoms:
Al  0.0000  0.0000  0.0000
Al  0.0000  0.5000  0.5000
Al  0.5000  0.0000  0.5000
Al  0.5000  0.5000  0.0000
In  0.2500  0.2500  0.2500
In  0.2500  0.2500  0.7500
In  0.2500  0.7500  0.2500
In  0.2500  0.7500  0.7500
In  0.7500  0.2500  0.2500
In  0.7500  0.2500  0.7500
In  0.7500  0.7500  0.2500
In  0.7500  0.7500  0.7500
Os  0.0000  0.0000  0.5000
Os  0.0000  0.5000  0.0000
Os  0.5000  0.0000  0.0000
Os  0.5000  0.5000  0.5000

Entry from the Alexandria database: a relaxed structure of Sr2YHg4 (GGA-PBE).

## Properties
ΔE_f = -0.39 eV per atom
mass density = 8.12 g cm⁻³
SG = I4/mmm (139)

abc: 5.5367 5.5367 14.2330
angles: 90.00 90.00 90.00
Fractional coordinates of all 14 atoms:
Sr  0.0000  0.0000  0.2323
Sr  0.0000  0.0000  0.7677
Sr  0.5000  0.5000  0.2677
Sr  0.5000  0.5000  0.7323
Y  0.0000  0.0000  0.5000
Y  0.5000  0.5000  0.0000
Hg  0.0000  0.5000  0.1083
Hg  0.0000  0.5000  0.3917
Hg  0.0000  0.5000  0.6083
Hg  0.0000  0.5000  0.8917
Hg  0.5000  0.0000  0.1083
Hg  0.5000  0.0000  0.3917
Hg  0.5000  0.0000  0.6083
Hg  0.5000  0.0000  0.8917

Entry from the Alexandria database: a relaxed structure of Dy2HoAg (GGA-PBE).

## Properties
polymorph energy (0 for the lowest one) = 0.25 eV per formula unit
ΔE_f = -0.07 eV per atom
mass density = 8.67 g cm⁻³
SG = Cmcm (63)

abc: 4.7575 11.4118 8.4347
angles: 90.00 90.00 90.00
Fractional coordinates of all 16 atoms:
Dy  0.0000  0.1424  0.0455
Dy  0.0000  0.1424  0.4545
Dy  0.0000  0.8576  0.5455
Dy  0.0000  0.8576  0.9545
Dy  0.5000  0.3576  0.5455
Dy  0.5000  0.3576  0.9545
Dy  0.5000  0.6424  0.0455
Dy  0.5000  0.6424  0.4545
Ho  0.0000  0.4483  0.2500
Ho  0.0000  0.5517  0.7500
Ho  0.5000  0.0517  0.7500
Ho  0.5000  0.9483  0.2500
Ag  0.0000  0.2762  0.7500
Ag  0.0000  0.7238  0.2500
Ag  0.5000  0.2238  0.2500
Ag  0.5000  0.7762  0.7500

Entry from the Alexandria database: a relaxed structure of U3Tl3CuSe8 (GGA-PBE).

## Properties
mass density = 7.44 g cm⁻³
formation energy (no corrections) = -0.79 eV per atom
SG = C2/m (12)

abc: 8.1065 8.1065 9.2139
angles: 116.10 116.10 60.01
Fractional coordinates of all 15 atoms:
U  0.0000  0.0000  0.0000
U  0.0000  0.5000  0.0000
U  0.5000  0.0000  0.0000
Tl  0.0000  0.5000  0.5000
Tl  0.5000  0.0000  0.5000
Tl  0.5000  0.5000  0.5000
Cu  0.5000  0.5000  0.0000
Se  0.2346  0.7306  0.1957
Se  0.2361  0.2361  0.2087
Se  0.2694  0.7654  0.8043
Se  0.2703  0.2703  0.8051
Se  0.7297  0.7297  0.1949
Se  0.7306  0.2346  0.1957
Se  0.7639  0.7639  0.7913
Se  0.7654  0.2694  0.8043

Entry from the Alexandria database: a relaxed structure of NaScTlAg (GGA-PBE).

## Properties
ΔE_f = -0.08 eV per atom
mass density = 7.07 g cm⁻³
SG = F-43m (216)

abc: 7.0950 7.0950 7.0950
angles: 90.00 90.00 90.00
Fractional coordinates of all 16 atoms:
Na  0.0000  0.0000  0.0000
Na  0.0000  0.5000  0.5000
Na  0.5000  0.0000  0.5000
Na  0.5000  0.5000  0.0000
Sc  0.0000  0.0000  0.5000
Sc  0.0000  0.5000  0.0000
Sc  0.5000  0.0000  0.0000
Sc  0.5000  0.5000  0.5000
Tl  0.2500  0.2500  0.7500
Tl  0.2500  0.7500  0.2500
Tl  0.7500  0.2500  0.2500
Tl  0.7500  0.7500  0.7500
Ag  0.2500  0.2500  0.2500
Ag  0.2500  0.7500  0.7500
Ag  0.7500  0.2500  0.7500
Ag  0.7500  0.7500  0.2500

Entry from the Alexandria database: a relaxed structure of LaDy8Tm2 (GGA-PBE).

## Properties
polymorph energy (0 for the lowest one) = 0.13 eV per formula unit
ΔE_f = 0.13 eV per atom
mass density = 8.06 g cm⁻³
SG = C2/m (12)

abc: 10.2203 10.2203 5.5027
angles: 92.75 92.75 39.63
Fractional coordinates of all 11 atoms:
La  0.0000  0.0000  0.0000
Dy  0.1320  0.5970  0.2682
Dy  0.1899  0.1899  0.2340
Dy  0.4030  0.8680  0.7318
Dy  0.4530  0.4530  0.7612
Dy  0.5470  0.5470  0.2388
Dy  0.5970  0.1320  0.2682
Dy  0.8101  0.8101  0.7660
Dy  0.8680  0.4030  0.7318
Tm  0.2849  0.2849  0.7507
Tm  0.7151  0.7151  0.2493

What did the sixth record say?
Entry from the Alexandria database: a relaxed structure of Dy2HoAg (GGA-PBE).

## Properties
polymorph energy (0 for the lowest one) = 0.25 eV per formula unit
ΔE_f = -0.07 eV per atom
mass density = 8.67 g cm⁻³
SG = Cmcm (63)

abc: 4.7575 11.4118 8.4347
angles: 90.00 90.00 90.00
Fractional coordinates of all 16 atoms:
Dy  0.0000  0.1424  0.0455
Dy  0.0000  0.1424  0.4545
Dy  0.0000  0.8576  0.5455
Dy  0.0000  0.8576  0.9545
Dy  0.5000  0.3576  0.5455
Dy  0.5000  0.3576  0.9545
Dy  0.5000  0.6424  0.0455
Dy  0.5000  0.6424  0.4545
Ho  0.0000  0.4483  0.2500
Ho  0.0000  0.5517  0.7500
Ho  0.5000  0.0517  0.7500
Ho  0.5000  0.9483  0.2500
Ag  0.0000  0.2762  0.7500
Ag  0.0000  0.7238  0.2500
Ag  0.5000  0.2238  0.2500
Ag  0.5000  0.7762  0.7500

Question: What is the mass density in the fifth record?
Answer: 8.12 g cm⁻³

Question: Look up the mass density of the sixth one.
Answer: 8.67 g cm⁻³

Please write out number 1 again, unchanged.
Entry from the Alexandria database: a relaxed structure of Tl4SeI2 (GGA-PBE).

## Properties
polymorph energy (0 for the lowest one) = 0.00 eV per formula unit
mass density = 6.56 g cm⁻³
formation energy (no corrections) = -0.52 eV per atom
SG = Pbam (55)

abc: 9.3606 12.9742 4.7916
angles: 90.00 90.00 90.00
Fractional coordinates of all 14 atoms:
Tl  0.1300  0.2164  0.0000
Tl  0.2050  0.9385  0.5000
Tl  0.2950  0.4385  0.5000
Tl  0.3700  0.7164  0.0000
Tl  0.6300  0.2836  0.0000
Tl  0.7050  0.5615  0.5000
Tl  0.7950  0.0615  0.5000
Tl  0.8700  0.7836  0.0000
Se  0.0000  0.0000  0.0000
Se  0.5000  0.5000  0.0000
I  0.0993  0.6702  0.5000
I  0.4007  0.1702  0.5000
I  0.5993  0.8298  0.5000
I  0.9007  0.3298  0.5000